{
  "formula": "Hf2CrSi2",
  "functional": "PBEsol",
  "state": "relaxed",
  "lattice": [[3.8030, 0.0000, 0.0000], [0.0000, 6.4120, 0.0000], [0.0000, 0.0000, 6.4120]],
  "species": ["Cr", "Cr", "Si", "Si", "Si", "Si", "Hf", "Hf", "Hf", "Hf"],
  "frac_coords": [[0.0000, 0.0000, 0.0000], [0.0000, 0.5000, 0.5000], [0.0000, 0.3680, 0.8680], [0.0000, 0.8680, 0.6320], [0.0000, 0.6320, 0.1320], [0.0000, 0.1320, 0.3680], [0.5000, 0.1738, 0.6738], [0.5000, 0.6738, 0.8262], [0.5000, 0.8262, 0.3262], [0.5000, 0.3262, 0.1738]],
  "energy_ev_per_atom": -9.235,
  "formation_energy_uncorrected_ev_per_atom": -0.687
}

{
  "formula": "HfCrSi2",
  "functional": "PBEsol",
  "state": "relaxed",
  "lattice": [[7.9271, 0.0000, 0.0000], [0.0000, 8.9437, 0.0000], [0.0000, 0.0000, 9.6209]],
  "species": ["Hf", "Hf", "Hf", "Hf", "Hf", "Hf", "Hf", "Hf", "Hf", "Hf", "Hf", "Hf", "Cr", "Cr", "Cr", "Cr", "Cr", "Cr", "Cr", "Cr", "Cr", "Cr", "Cr", "Cr", "Si", "Si", "Si", "Si", "Si", "Si", "Si", "Si", "Si", "Si", "Si", "Si", "Si", "Si", "Si", "Si", "Si", "Si", "Si", "Si", "Si", "Si", "Si", "Si"],
  "frac_coords": [[0.7455, 0.8282, 0.0478], [0.7455, 0.1718, 0.9522], [0.2545, 0.6718, 0.5478], [0.2545, 0.3282, 0.4522], [0.2545, 0.1718, 0.9522], [0.2545, 0.8282, 0.0478], [0.7455, 0.3282, 0.4522], [0.7455, 0.6718, 0.5478], [0.5000, 0.8311, 0.3203], [0.5000, 0.1689, 0.6797], [0.5000, 0.6689, 0.8203], [0.5000, 0.3311, 0.1797], [0.7483, 0.5794, 0.2473], [0.7483, 0.4206, 0.7527], [0.2517, 0.9206, 0.7473], [0.2517, 0.0794, 0.2527], [0.2517, 0.4206, 0.7527], [0.2517, 0.5794, 0.2473], [0.7483, 0.0794, 0.2527], [0.7483, 0.9206, 0.7473], [0.7443, 0.0000, 0.5000], [0.2557, 0.5000, 0.0000], [0.2557, 0.0000, 0.5000], [0.7443, 0.5000, 0.0000], [0.8500, 0.8286, 0.3187], [0.8500, 0.1714, 0.6813], [0.1500, 0.6714, 0.8187], [0.1500, 0.3286, 0.1813], [0.1500, 0.1714, 0.6813], [0.1500, 0.8286, 0.3187], [0.8500, 0.3286, 0.1813], [0.8500, 0.6714, 0.8187], [0.5000, 0.5394, 0.3796], [0.5000, 0.4606, 0.6204], [0.5000, 0.9606, 0.8796], [0.5000, 0.0394, 0.1204], [0.0000, 0.5403, 0.3744], [0.0000, 0.4597, 0.6256], [0.0000, 0.9597, 0.8744], [0.0000, 0.0403, 0.1256], [0.5000, 0.6262, 0.1036], [0.5000, 0.3738, 0.8964], [0.5000, 0.8738, 0.6036], [0.5000, 0.1262, 0.3964], [0.0000, 0.6129, 0.0978], [0.0000, 0.3871, 0.9022], [0.0000, 0.8871, 0.5978], [0.0000, 0.1129, 0.4022]],
  "energy_ev_per_atom": -8.740,
  "formation_energy_uncorrected_ev_per_atom": -0.681
}

{
  "formula": "HfCrSi3",
  "functional": "PBEsol",
  "state": "relaxed",
  "lattice": [[4.9366, 0.0000, 0.0000], [0.0000, 4.9366, 0.0000], [0.0000, 0.0000, 4.9366]],
  "species": ["Cr", "Si", "Si", "Si", "Hf"],
  "frac_coords": [[0.5000, 0.5000, 0.5000], [0.0000, 0.5000, 0.0000], [0.0000, 0.0000, 0.5000], [0.5000, 0.0000, 0.0000], [0.0000, 0.0000, 0.0000]],
  "energy_ev_per_atom": -6.441,
  "formation_energy_uncorrected_ev_per_atom": 1.156
}

{
  "formula": "HfCr3Si",
  "functional": "PBEsol",
  "state": "relaxed",
  "lattice": [[4.2851, 0.0000, 0.0000], [0.0000, 4.2851, 0.0000], [0.0000, 0.0000, 4.2851]],
  "species": ["Cr", "Cr", "Cr", "Si", "Hf"],
  "frac_coords": [[0.0000, 0.5000, 0.0000], [0.0000, 0.0000, 0.5000], [0.5000, 0.0000, 0.0000], [0.0000, 0.0000, 0.0000], [0.5000, 0.5000, 0.5000]],
  "polymorph_energy_ev_per_atom": 0.0000,
  "energy_ev_per_atom": -8.711,
  "formation_energy_uncorrected_ev_per_atom": 0.684
}

{
  "formula": "Hf6Cr5Si7",
  "functional": "PBEsol",
  "state": "relaxed",
  "lattice": [[-1.0586, -4.4320, 2.1348], [8.0933, 2.8237, 9.8753], [-12.2018, 6.7952, 8.0570]],
  "species": ["Hf", "Hf", "Hf", "Hf", "Hf", "Hf", "Hf", "Hf", "Hf", "Hf", "Hf", "Hf", "Hf", "Hf", "Hf", "Hf", "Hf", "Hf", "Hf", "Hf", "Hf", "Hf", "Hf", "Hf", "Cr", "Cr", "Cr", "Cr", "Cr", "Cr", "Cr", "Cr", "Cr", "Cr", "Cr", "Cr", "Cr", "Cr", "Cr", "Cr", "Cr", "Cr", "Cr", "Cr", "Si", "Si", "Si", "Si", "Si", "Si", "Si", "Si", "Si", "Si", "Si", "Si", "Si", "Si", "Si", "Si", "Si", "Si", "Si", "Si", "Si", "Si", "Si", "Si", "Si", "Si", "Si", "Si"],
  "frac_coords": [[0.2500, 0.1818, 0.2903], [0.7500, 0.8182, 0.7097], [0.7500, 0.6818, 0.2097], [0.2500, 0.3182, 0.7903], [0.2500, 0.8171, 0.1499], [0.7500, 0.1829, 0.8501], [0.7500, 0.3171, 0.3501], [0.2500, 0.6829, 0.6499], [0.2500, 0.9688, 0.6756], [0.7500, 0.0312, 0.3244], [0.7500, 0.4688, 0.8244], [0.2500, 0.5312, 0.1756], [0.2500, 0.7313, 0.4433], [0.7500, 0.2687, 0.5567], [0.7500, 0.2313, 0.0567], [0.2500, 0.7687, 0.9433], [0.2500, 0.9715, 0.4370], [0.7500, 0.0285, 0.5630], [0.7500, 0.4715, 0.0630], [0.2500, 0.5285, 0.9370], [0.2500, 0.3503, 0.4649], [0.7500, 0.6497, 0.5351], [0.7500, 0.8503, 0.0351], [0.2500, 0.1497, 0.9649], [0.2500, 0.1445, 0.5639], [0.7500, 0.8555, 0.4361], [0.7500, 0.6445, 0.9361], [0.2500, 0.3555, 0.0639], [0.5016, 0.1616, 0.6849], [0.0016, 0.8384, 0.3151], [0.4984, 0.6616, 0.8151], [0.9984, 0.3384, 0.1849], [0.4984, 0.8384, 0.3151], [0.9984, 0.1616, 0.6849], [0.5016, 0.3384, 0.1849], [0.0016, 0.6616, 0.8151], [0.5131, 0.0392, 0.1300], [0.0131, 0.9608, 0.8700], [0.4869, 0.5392, 0.3700], [0.9869, 0.4608, 0.6300], [0.4869, 0.9608, 0.8700], [0.9869, 0.0392, 0.1300], [0.5131, 0.4608, 0.6300], [0.0131, 0.5392, 0.3700], [0.4966, 0.8411, 0.5617], [0.9966, 0.1589, 0.4383], [0.5034, 0.3411, 0.9383], [0.0034, 0.6589, 0.0617], [0.5034, 0.1589, 0.4383], [0.0034, 0.8411, 0.5617], [0.4966, 0.6589, 0.0617], [0.9966, 0.3411, 0.9383], [0.2500, 0.9798, 0.2579], [0.7500, 0.0202, 0.7421], [0.7500, 0.4798, 0.2421], [0.2500, 0.5202, 0.7579], [0.2500, 0.8196, 0.7853], [0.7500, 0.1804, 0.2147], [0.7500, 0.3196, 0.7147], [0.2500, 0.6804, 0.2853], [0.2500, 0.1933, 0.1258], [0.7500, 0.8067, 0.8742], [0.7500, 0.6933, 0.3742], [0.2500, 0.3067, 0.6258], [0.2500, 0.1071, 0.8045], [0.7500, 0.8929, 0.1955], [0.7500, 0.6071, 0.6955], [0.2500, 0.3929, 0.3045], [0.2500, 0.9517, 0.0155], [0.7500, 0.0483, 0.9845], [0.7500, 0.4517, 0.4845], [0.2500, 0.5483, 0.5155]],
  "energy_ev_per_atom": -9.273,
  "formation_energy_uncorrected_ev_per_atom": -0.693
}

{
  "formula": "HfCr3Si",
  "functional": "PBEsol",
  "state": "relaxed",
  "lattice": [[-0.6623, -3.5555, -2.8225], [4.2790, 0.4637, -1.5882], [1.5162, -2.8619, 3.2493]],
  "species": ["Cr", "Cr", "Cr", "Si", "Hf"],
  "frac_coords": [[0.0000, 0.5000, 0.0000], [0.0000, 0.0000, 0.5000], [0.5000, 0.0000, 0.0000], [0.5000, 0.5000, 0.5000], [0.0000, 0.0000, 0.0000]],
  "polymorph_energy_ev_per_atom": 1.3399,
  "energy_ev_per_atom": -7.372,
  "formation_energy_uncorrected_ev_per_atom": 2.024
}

{
  "formula": "Sr2HfCr2",
  "functional": "PBEsol",
  "state": "relaxed",
  "lattice": [[4.1998, 0.0000, 0.0000], [0.0000, 4.1998, 0.0000], [-2.0999, -2.0999, 6.6003]],
  "species": ["Sr", "Sr", "Hf", "Cr", "Cr"],
  "frac_coords": [[0.2500, 0.7500, 0.5000], [0.7500, 0.2500, 0.5000], [0.0000, 0.0000, 0.0000], [0.4318, 0.4318, 0.8637], [0.5682, 0.5682, 0.1363]],
  "energy_ev_per_atom": -5.789,
  "e_form_mev_per_atom": 1144
}

{
  "formula": "Sr2HfZrCr",
  "functional": "PBEsol",
  "state": "relaxed",
  "lattice": [[4.8684, 0.0000, 0.0000], [0.0000, 5.5816, 0.0000], [0.0000, 0.0000, 5.5816]],
  "species": ["Sr", "Sr", "Hf", "Zr", "Cr"],
  "frac_coords": [[0.0000, 0.0000, 0.5000], [0.0000, 0.5000, 0.0000], [0.5000, 0.0000, 0.0000], [0.5000, 0.5000, 0.5000], [0.0000, 0.0000, 0.0000]],
  "energy_ev_per_atom": -5.481,
  "e_form_mev_per_atom": 1222
}